Entry 1:
Entry from Alexandria via LeMat-Bulk: crystalline LiSi2Hg at its relaxed geometry (GGA-PBEsol).

Calculated values
Raw formation energy (eV per atom): 0.266
Calculated total energy (eV per formula unit): -12.96

Lattice parameters (Å, degrees): 7.613 7.613 5.038 90.00 90.00 90.00
Space group I-42d (No. 122)
Inequivalent atoms, fractional coordinates:
Li1 0.000 0.000 0.000
Si1 0.225 0.250 0.625
Hg1 0.000 0.000 0.500

***

Entry 2:
Entry from Alexandria via LeMat-Bulk: crystalline K2NaSrMg at its relaxed geometry (GGA-PBEsol).

Calculated values
Energy of formation from the pure elements (eV per atom): 0.292
Calculated total energy (eV per formula unit): -5.76

Lattice parameters (Å, degrees): 6.699 6.699 6.739 90.00 90.00 90.00
Space group P4/mmm (No. 123)
Inequivalent atoms, fractional coordinates:
K1 0.000 0.500 0.000
Na1 0.000 0.000 0.500
Sr1 0.500 0.500 0.500
Mg1 0.500 0.500 0.000

***

Entry 3:
Entry from Alexandria via LeMat-Bulk: crystalline TaMo5 at its relaxed geometry (GGA-PBEsol).

Calculated values
Energy of formation from the pure elements (eV per atom): -0.064
Polymorph energy (0 for the lowest one) (meV per atom): 22
Calculated total energy (eV per formula unit): -71.77

Lattice parameters (Å, degrees): 2.746 5.206 6.844 77.92 82.28 79.95
Space group P-1 (No. 2)
Inequivalent atoms, fractional coordinates:
Ta1 0.000 0.000 0.000
Mo1 0.169 0.167 0.336
Mo2 0.337 0.335 0.663
Mo3 0.500 0.500 0.000